Entry 1:
VASP calculation (PBE-GGA) on La2NdSmTm4 after structural relaxation.

Results
Fermi-level density of states = 75.030 states/eV per cell
Electronic total energy = -136.24 eV for the cell shown
Size of the total moment = 0.004 μB/atom

Lattice parameters (Å, degrees): 6.7992 11.8977 13.2647 90.00 90.00 90.00
Space group Imma (No. 74)
One atom of each set of equivalent atoms:
1 La 0.0000 0.0000 0.0000
2 La 0.2500 0.2500 0.2500
3 Nd 0.0000 0.0000 0.5000
4 Sm 0.2500 0.2500 0.7500
5 Tm 0.0000 0.0026 0.7498
6 Tm 0.2483 0.2500 0.5014



Entry 2:
VASP calculation (PBE-GGA) on La4NdSmTm2 after structural relaxation.

Results
Fermi-level density of states = 10.867 states/eV per cell
Electronic total energy = -38.05 eV for the cell shown
Size of the total moment = 0.000 μB/atom

Lattice parameters (Å, degrees): 6.3363 3.6745 11.9795 90.00 100.12 90.00
Space group P2/m (No. 10)
One atom of each set of equivalent atoms:
1 La 0.2447 0.0000 0.2466
2 La 0.2472 0.5000 0.7484
3 Nd 0.5000 0.5000 0.5000
4 Sm 0.5000 0.0000 0.0000
5 Tm 0.0000 0.0000 0.5000
6 Tm 0.0000 0.5000 0.0000